A plane-wave DFT calculation with PBE-GGA was carried out for an optimized crystal structure of NaIrAu3.

Cell lengths 5.094, 5.094, 5.094 Å; angles 90.00, 90.00, 90.00 degrees
Atoms (fractional coordinates):
Au 0.500 0.000 0.000
Ir 0.000 0.000 0.000
Au 0.000 0.000 0.500
Na 0.500 0.500 0.500
Au 0.000 0.500 0.000

Values from the calculation:
For the volume, the calculation gives 132.2 Å³ per cell. As for the space group: Pm-3m. The total energy is -17.45 eV/cell. The value obtained for the formation energy is 247 kJ/mol of formula units. Its energy above the most stable polymorph in this dataset is 0.0000 eV per atom.